A relaxed structure of LiDyCl4, computed with GGA-PBE.

The structure in CIF format:
```
data_LiDyCl4
_space_group_name_H-M_alt 'P 1 2/m 1'
_space_group_IT_number 10
_cell_length_a 6.683
_cell_length_b 3.944
_cell_length_c 6.717
_cell_angle_alpha 90.00
_cell_angle_beta 96.71
_cell_angle_gamma 90.00
loop_
_space_group_symop_operation_xyz
'x,y,z'
'-x,-y,-z'
'-x,y,-z'
'x,-y,z'
loop_
_atom_site_label
_atom_site_type_symbol
_atom_site_fract_x
_atom_site_fract_y
_atom_site_fract_z
_atom_site_occupancy
Li1 Li 0.000 0.000 0.000 1
Dy1 Dy 0.000 0.500 0.500 1
Cl1 Cl 0.198 0.500 0.188 1
Cl2 Cl 0.225 0.000 0.680 1
```

* raw total energy: -0.3246 Ry per atom
* N(E_F): 0.000 states/eV per atom
* energy above the lowest structure with this stoichiometry: 0 meV/atom
* uncorrected formation energy: -2099 meV/atom